[1]
DFT (PBE) results for crystalline Ac2BeCoPt6 at its relaxed geometry. Values from VASP.

Cell and atoms, written as Quantum ESPRESSO input:
```
&SYSTEM
  ibrav = 0, nat = 10, ntyp = 4
/
ATOMIC_SPECIES
Pt 195.08 Pt.upf
Co 58.93 Co.upf
Ac 227.00 Ac.upf
Be 9.01 Be.upf
CELL_PARAMETERS angstrom
-2.1257 2.7952 4.9446
1.5700 -5.6862 3.8883
4.0731 -0.4232 5.7065
ATOMIC_POSITIONS angstrom
Pt 1.7287 -0.5718 4.7844
Pt 3.2717 -2.3652 12.2126
Pt 4.4350 -3.8939 9.5101
Pt -0.9176 0.5797 5.0292
Pt 0.2457 -0.9490 2.3267
Pt 1.7887 -2.7424 9.7550
Co 0.0000 0.0000 0.0000
Ac 2.3345 -3.5075 6.7031
Ac 1.1829 0.1933 7.8362
Be -0.2778 -1.4455 4.4164
```

Properties
The theoretical density comes out at 14.34 g/cm3. For the total energy, the calculation gives -6.2228 eV/atom. The value obtained for the magnetization is 1.76 μB per cell.

[2]
DFT (PBE) results for crystalline AcCe2HoSe5 at its relaxed geometry. Values from VASP.

Cell and atoms, written as Quantum ESPRESSO input:
```
&SYSTEM
  ibrav = 0, nat = 9, ntyp = 4
/
ATOMIC_SPECIES
Se 78.96 Se.upf
Ce 140.12 Ce.upf
Ac 227.00 Ac.upf
Ho 164.93 Ho.upf
CELL_PARAMETERS angstrom
5.1301 0.0000 0.0000
0.0000 5.1301 0.0000
0.0000 0.0000 11.3577
ATOMIC_POSITIONS angstrom
Se 0.0000 2.5650 5.6789
Se 0.0000 0.0000 2.9064
Se 2.5650 2.5650 0.0000
Se 0.0000 0.0000 8.4513
Se 2.5650 0.0000 5.6789
Ce 2.5650 2.5650 7.6068
Ce 2.5650 2.5650 3.7509
Ac 0.0000 0.0000 0.0000
Ho 0.0000 0.0000 5.6789
```

Properties
The theoretical density comes out at 5.93 g/cm3. For the total energy, the calculation gives -5.6059 eV/atom. The value obtained for the magnetization is 3.47 μB per cell. The calculation puts the formation energy from raw total energies at -1204 kJ/mol of formula units.

[3]
DFT (PBE) results for crystalline KIO3 at its relaxed geometry. Values from VASP.

Cell and atoms, written as Quantum ESPRESSO input:
```
&SYSTEM
  ibrav = 0, nat = 5, ntyp = 3
/
ATOMIC_SPECIES
O 16.00 O.upf
K 39.10 K.upf
I 126.90 I.upf
CELL_PARAMETERS angstrom
4.1529 0.0000 0.0000
0.0000 4.1529 0.0000
0.0000 0.0000 4.1529
ATOMIC_POSITIONS angstrom
O 0.0000 2.0765 0.0000
O 2.0765 0.0000 0.0000
O 0.0000 0.0000 2.0765
K 2.0765 2.0765 2.0765
I 0.0000 0.0000 0.0000
```

Properties
The theoretical density comes out at 4.96 g/cm3. For the total energy, the calculation gives -4.2371 eV/atom. The value obtained for the magnetization is 0.00 μB per cell. The calculation puts the formation energy from raw total energies at -353 kJ/mol of formula units.